1.
# Tb3TlAg | the Alexandria database | PBE-GGA | relaxed
# **Formation enthalpy at 0 K**: -0.2410 eV per atom
# **Energy above the most stable polymorph in this dataset**: 0 meV/atom
data_Tb3TlAg
_chemical_formula_sum 'Tb6 Tl2 Ag2'
_cell_length_a 10.6386
_cell_length_b 10.6386
_cell_length_c 5.1728
_cell_angle_alpha 90.00
_cell_angle_beta 90.00
_cell_angle_gamma 151.88
_symmetry_space_group_name_H-M 'P 1'
_symmetry_Int_Tables_number 1
loop_
_symmetry_equiv_pos_as_xyz
'x,y,z'
loop_
_atom_site_label
_atom_site_fract_x
_atom_site_fract_y
_atom_site_fract_z
Tb1 0.0609 0.9391 0.7500
Tb2 0.2496 0.7504 0.7500
Tb3 0.4384 0.5616 0.7500
Tb4 0.5616 0.4384 0.2500
Tb5 0.7504 0.2496 0.2500
Tb6 0.9391 0.0609 0.2500
Tl1 0.1558 0.8442 0.2500
Tl2 0.8442 0.1558 0.7500
Ag1 0.3429 0.6571 0.2500
Ag2 0.6571 0.3429 0.7500



2.
# TbTlAg | the Alexandria database | PBE-GGA | relaxed
# **Formation enthalpy at 0 K**: -0.2860 eV per atom
data_TbTlAg
_chemical_formula_sum 'Tb1 Tl1 Ag1'
_cell_length_a 4.9541
_cell_length_b 4.9541
_cell_length_c 3.4260
_cell_angle_alpha 90.00
_cell_angle_beta 90.00
_cell_angle_gamma 120.00
_symmetry_space_group_name_H-M 'P 1'
_symmetry_Int_Tables_number 1
loop_
_symmetry_equiv_pos_as_xyz
'x,y,z'
loop_
_atom_site_label
_atom_site_fract_x
_atom_site_fract_y
_atom_site_fract_z
Tb1 0.0000 0.0000 0.0000
Tl1 0.3333 0.6667 0.5000
Ag1 0.6667 0.3333 0.5000



3.
# TbTmTlAg | the Alexandria database | PBE-GGA | relaxed
# **Formation enthalpy at 0 K**: -0.3345 eV per atom
data_TbTmTlAg
_chemical_formula_sum 'Tb1 Tm1 Tl1 Ag1'
_cell_length_a 3.6392
_cell_length_b 3.6392
_cell_length_c 7.6650
_cell_angle_alpha 90.00
_cell_angle_beta 90.00
_cell_angle_gamma 90.00
_symmetry_space_group_name_H-M 'P 1'
_symmetry_Int_Tables_number 1
loop_
_symmetry_equiv_pos_as_xyz
'x,y,z'
loop_
_atom_site_label
_atom_site_fract_x
_atom_site_fract_y
_atom_site_fract_z
Tb1 0.0000 0.0000 0.0000
Tm1 0.0000 0.0000 0.5311
Tl1 0.5000 0.5000 0.2692
Ag1 0.5000 0.5000 0.7515



4.
# TbTm2Tl2Ag2 | the Alexandria database | PBE-GGA | relaxed
# **Formation enthalpy at 0 K**: -0.1480 eV per atom
data_TbTm2Tl2Ag2
_chemical_formula_sum 'Tb1 Tm2 Tl2 Ag2'
_cell_length_a 8.9945
_cell_length_b 8.9945
_cell_length_c 8.9945
_cell_angle_alpha 31.53
_cell_angle_beta 31.53
_cell_angle_gamma 31.53
_symmetry_space_group_name_H-M 'P 1'
_symmetry_Int_Tables_number 1
loop_
_symmetry_equiv_pos_as_xyz
'x,y,z'
loop_
_atom_site_label
_atom_site_fract_x
_atom_site_fract_y
_atom_site_fract_z
Tb1 0.0000 0.0000 0.0000
Tm1 0.1330 0.1330 0.1330
Tm2 0.8670 0.8670 0.8670
Tl1 0.2650 0.2650 0.2650
Tl2 0.7350 0.7350 0.7350
Ag1 0.4372 0.4372 0.4372
Ag2 0.5628 0.5628 0.5628



5.
# TbTmTlAg | the Alexandria database | PBE-GGA | relaxed
# **Formation enthalpy at 0 K**: -0.3338 eV per atom
data_TbTmTlAg
_chemical_formula_sum 'Tb1 Tm1 Tl1 Ag1'
_cell_length_a 5.2411
_cell_length_b 5.2411
_cell_length_c 5.2411
_cell_angle_alpha 60.00
_cell_angle_beta 60.00
_cell_angle_gamma 60.00
_symmetry_space_group_name_H-M 'P 1'
_symmetry_Int_Tables_number 1
loop_
_symmetry_equiv_pos_as_xyz
'x,y,z'
loop_
_atom_site_label
_atom_site_fract_x
_atom_site_fract_y
_atom_site_fract_z
Tb1 0.0000 0.0000 0.0000
Tm1 0.5000 0.5000 0.5000
Tl1 0.2500 0.2500 0.2500
Ag1 0.7500 0.7500 0.7500



6.
# TbYTlAg | the Alexandria database | PBE-GGA | relaxed
# **Formation enthalpy at 0 K**: -0.3538 eV per atom
data_TbYTlAg
_chemical_formula_sum 'Tb1 Y1 Tl1 Ag1'
_cell_length_a 5.2797
_cell_length_b 5.2797
_cell_length_c 5.2797
_cell_angle_alpha 60.00
_cell_angle_beta 60.00
_cell_angle_gamma 60.00
_symmetry_space_group_name_H-M 'P 1'
_symmetry_Int_Tables_number 1
loop_
_symmetry_equiv_pos_as_xyz
'x,y,z'
loop_
_atom_site_label
_atom_site_fract_x
_atom_site_fract_y
_atom_site_fract_z
Tb1 0.0000 0.0000 0.0000
Y1 0.5000 0.5000 0.5000
Tl1 0.7500 0.7500 0.7500
Ag1 0.2500 0.2500 0.2500